First-principles (GGA-PBE) data for an optimized crystal structure of MgCdIn2, as listed in the Alexandria database.

abc: 4.4138 3.2729 7.3099
angles: 66.26 90.00 90.00
Element x y z (fractional)
1 Cd 0.5000 0.7500 0.7500
2 In 0.0000 0.9814 0.0039
3 In 0.0000 0.5186 0.4961
4 Mg 0.5000 0.2500 0.2500

Output
The space group is P2/m, No. 10. Its calculated formation energy is -0.1 eV per formula unit. The value obtained for the density of states at the Fermi level is 0.411 states/eV per atom. The calculation puts the total energy at -2.019 eV/atom.

=====

First-principles (GGA-PBE) data for an optimized crystal structure of Mg3Cd2In2, as listed in the Alexandria database.

abc: 5.3029 5.8160 5.5451
angles: 77.65 80.95 98.37
Element x y z (fractional)
1 Mg 0.2836 0.5710 0.8534
2 Mg 0.7164 0.4290 0.1466
3 Mg 0.0000 0.0000 0.0000
4 Cd 0.1423 0.2801 0.4081
5 Cd 0.8577 0.7199 0.5919
6 In 0.4270 0.8378 0.2854
7 In 0.5730 0.1622 0.7146

Output
The space group is P-1, No. 2. Its calculated formation energy is -0.4 eV per formula unit. The value obtained for the density of states at the Fermi level is 0.341 states/eV per atom. The calculation puts the total energy at -1.780 eV/atom.